Density functional theory data (PBE) for TbNi2PN after structural relaxation.

Cell and atoms, written as CIF:
```
data_TbNi2PN
_chemical_formula_sum 'Tb4 Ni8 P4 N4'
_cell_length_a 3.458
_cell_length_b 11.189
_cell_length_c 6.645
_cell_angle_alpha 90.00
_cell_angle_beta 90.00
_cell_angle_gamma 90.00
_symmetry_space_group_name_H-M 'C m c m'
_symmetry_Int_Tables_number 63
_symmetry_space_group_name_Hall '-C 2c 2'
loop_
_atom_site_label
_atom_site_type_symbol
_atom_site_fract_x
_atom_site_fract_y
_atom_site_fract_z
_atom_site_occupancy
Tb1 Tb 0.000 0.034 0.250 1
Ni1 Ni 0.000 0.328 0.053 1
P1 P 0.000 0.235 0.750 1
N1 N 0.000 0.500 0.000 1
```

Values from the calculation:
As for the uncorrected formation energy: -0.9248 eV per atom.